# 1
This record from Alexandria describes a relaxed Li2Tl13 crystal. The functional is PBE.

Output
Calculated total energy in eV/atom: -2.194
V in Å³ per atom: 34.43
SG: R-3m (166)

Cell lengths 8.0414, 8.0414, 8.0414 Å; angles 93.76, 93.76, 93.76 degrees
Last column: nearest neighbours and their distance in Å.
Positions (direct):
Tl: 0.0298 0.3159 0.0298  1 Li 2.88, 2 Tl 3.09-3.19
Tl: 0.3034 0.7391 0.7391  4 Tl 3.19-3.38, 1 Li 3.32
Tl: 0.7391 0.3034 0.7391  4 Tl 3.19-3.38, 1 Li 3.32
Tl: 0.3159 0.0298 0.0298  1 Li 2.88, 2 Tl 3.09-3.19
Tl: 0.0298 0.0298 0.3159  1 Li 2.88, 2 Tl 3.09-3.19
Tl: 0.6966 0.2609 0.2609  4 Tl 3.19-3.38, 1 Li 3.32
Tl: 0.9702 0.6841 0.9702  1 Li 2.88, 2 Tl 3.09-3.19
Tl: 0.7391 0.7391 0.3034  4 Tl 3.19-3.38, 1 Li 3.32
Tl: 0.2609 0.2609 0.6966  4 Tl 3.19-3.38, 1 Li 3.32
Tl: 0.9702 0.9702 0.6841  1 Li 2.88, 2 Tl 3.09-3.19
Tl: 0.2609 0.6966 0.2609  4 Tl 3.19-3.38, 1 Li 3.32
Tl: 0.5000 0.5000 0.5000  2 Li 2.74
Tl: 0.6841 0.9702 0.9702  1 Li 2.88, 2 Tl 3.09-3.19
Li: 0.7111 0.7111 0.7111  4 Tl 2.74-2.88
Li: 0.2889 0.2889 0.2889  4 Tl 2.74-2.88



# 2
This record from Alexandria describes a relaxed NaAl2Ga2 crystal. The functional is PBE.

Output
Calculated total energy in eV/atom: -3.085
V in Å³ per atom: 20.02
Relative energy among the computed polymorphs in meV per atom: 0
SG: I4/mmm (139)

Cell lengths 4.1918, 4.1918, 6.4228 Å; angles 70.95, 70.95, 90.00 degrees
Last column: nearest neighbours and their distance in Å.
Positions (direct):
Ga: 0.6094 0.6094 0.7812  1 Ga 2.49, 4 Al 2.64
Ga: 0.3906 0.3906 0.2188  1 Ga 2.49, 4 Al 2.64
Al: 0.7500 0.2500 0.5000  4 Ga 2.64
Al: 0.2500 0.7500 0.5000  4 Ga 2.64
Na: 0.0000 0.0000 0.0000  8 Ga 3.22, 8 Al 3.54



# 3
This record from Alexandria describes a relaxed InSb2P crystal. The functional is PBE.

Output
Calculated total energy in eV/atom: -3.706
V in Å³ per atom: 23.79
Relative energy among the computed polymorphs in meV per atom: 301
SG: Fm-3m (225)
E_form (uncorrected) in meV per atom: 392.5

Cell lengths 5.1246, 5.1246, 5.1246 Å; angles 60.00, 60.00, 60.00 degrees
Last column: nearest neighbours and their distance in Å.
Positions (direct):
Sb: 0.7500 0.7500 0.7500  4 In 3.14, 4 P 3.14
Sb: 0.2500 0.2500 0.2500  4 In 3.14, 4 P 3.14
In: 0.5000 0.5000 0.5000  8 Sb 3.14
P: 0.0000 0.0000 0.0000  8 Sb 3.14



# 4
This record from Alexandria describes a relaxed Th2ZrZn crystal. The functional is PBE.

Output
Calculated total energy in eV/atom: -5.857
V in Å³ per atom: 27.02
Relative energy among the computed polymorphs in meV per atom: 294
SG: R-3m (166)

Cell lengths 3.2957, 3.2957, 11.6452 Å; angles 81.87, 81.87, 60.00 degrees
Last column: nearest neighbours and their distance in Å.
Positions (direct):
Zr: 0.0000 0.0000 0.0000  2 Th 3.16, 6 Zr 3.30
Zn: 0.5000 0.5000 0.5000  6 Th 3.21, 6 Zn 3.30
Th: 0.0916 0.0916 0.7252  1 Zr 3.16, 3 Zn 3.21, 6 Th 3.30
Th: 0.9084 0.9084 0.2748  1 Zr 3.16, 3 Zn 3.21, 6 Th 3.30



# 5
This record from Alexandria describes a relaxed ZrSn2Sb crystal. The functional is PBE.

Output
Calculated total energy in eV/atom: -4.758
V in Å³ per atom: 37.50
SG: I-42d (122)
E_form (uncorrected) in meV per atom: 410.6

Cell lengths 6.7823, 6.7823, 8.0949 Å; angles 65.23, 65.23, 90.00 degrees
Last column: nearest neighbours and their distance in Å.
Positions (direct):
Sn: 0.3750 0.3783 0.7500  2 Zr 2.89, 2 Sb 2.91
Sn: 0.6217 0.1250 0.2500  2 Zr 2.89, 2 Sb 2.91
Sn: 0.1283 0.6250 0.2500  2 Zr 2.89, 2 Sb 2.91
Sn: 0.8750 0.8717 0.7500  2 Zr 2.89, 2 Sb 2.91
Sb: 0.7500 0.2500 0.5000  4 Sn 2.91
Sb: 0.0000 0.0000 0.0000  4 Sn 2.91
Zr: 0.5000 0.5000 0.0000  4 Sn 2.89
Zr: 0.2500 0.7500 0.5000  4 Sn 2.89



# 6
This record from Alexandria describes a relaxed DyHfS3 crystal. The functional is PBE.

Output
Calculated total energy in eV/atom: -7.101
V in Å³ per atom: 20.77
SG: Pnma (62)
E_form (uncorrected) in meV per atom: -1713.5

Cell lengths 3.7267, 8.6046, 12.9526 Å; angles 90.00, 90.00, 90.00 degrees
Last column: nearest neighbours and their distance in Å.
Positions (direct):
Dy: 0.7500 0.0260 0.6646  6 S 2.75-2.95
Dy: 0.2500 0.4740 0.1646  6 S 2.75-2.95
Dy: 0.7500 0.5260 0.8354  6 S 2.75-2.95
Dy: 0.2500 0.9740 0.3354  6 S 2.75-2.95
S: 0.2500 0.8037 0.7138  1 Hf 2.52, 2 Dy 2.75
S: 0.2500 0.6557 0.9712  2 Hf 2.57, 2 Dy 2.79
S: 0.2500 0.3037 0.7862  1 Hf 2.52, 2 Dy 2.75
S: 0.2500 0.1557 0.5288  2 Hf 2.57, 2 Dy 2.79
S: 0.7500 0.4975 0.6195  3 Hf 2.52-2.57, 1 Dy 2.81
S: 0.7500 0.3443 0.0288  2 Hf 2.57, 2 Dy 2.79
S: 0.7500 0.9975 0.8805  3 Hf 2.52-2.57, 1 Dy 2.81
S: 0.7500 0.1963 0.2862  1 Hf 2.52, 2 Dy 2.75
S: 0.2500 0.5025 0.3805  3 Hf 2.52-2.57, 1 Dy 2.81
S: 0.7500 0.6963 0.2138  1 Hf 2.52, 2 Dy 2.75
S: 0.7500 0.8443 0.4712  2 Hf 2.57, 2 Dy 2.79
S: 0.2500 0.0025 0.1195  3 Hf 2.52-2.57, 1 Dy 2.81
Hf: 0.2500 0.6670 0.5415  6 S 2.52-2.57
Hf: 0.7500 0.8330 0.0415  6 S 2.52-2.57
Hf: 0.7500 0.3330 0.4585  6 S 2.52-2.57
Hf: 0.2500 0.1670 0.9585  6 S 2.52-2.57



# 7
This record from Alexandria describes a relaxed BeAg2Mo crystal. The functional is PBE.

Output
Calculated total energy in eV/atom: -4.512
V in Å³ per atom: 15.52
SG: Pmmm (47)

Cell lengths 2.7472, 4.6623, 4.8484 Å; angles 90.00, 90.00, 90.00 degrees
Last column: nearest neighbours and their distance in Å.
Positions (direct):
Ag: 0.0000 0.0000 0.0000  6 Ag 2.71-2.75, 4 Be 2.79
Ag: 0.5000 0.5000 0.0000  6 Ag 2.71-2.75, 4 Mo 2.79
Mo: 0.0000 0.5000 0.5000  4 Be 2.71, 2 Mo 2.75, 4 Ag 2.79
Be: 0.5000 0.0000 0.5000  4 Mo 2.71, 2 Be 2.75, 4 Ag 2.79



# 8
This record from Alexandria describes a relaxed Mg2Sc4Cd crystal. The functional is PBE.

Output
Calculated total energy in eV/atom: -4.097
V in Å³ per atom: 25.02
Relative energy among the computed polymorphs in meV per atom: 24
SG: Imma (74)

Cell lengths 6.2102, 8.1319, 8.1319 Å; angles 78.95, 67.55, 67.55 degrees
Last column: nearest neighbours and their distance in Å.
Positions (direct):
Mg: 0.5000 0.5000 0.5000  4 Sc 3.09
Mg: 0.5000 0.0000 0.0000  4 Sc 3.09
Mg: 0.2642 0.9858 0.4858  6 Sc 2.95-3.08, 2 Mg 3.12
Mg: 0.7358 0.0142 0.5142  6 Sc 2.95-3.08, 2 Mg 3.12
Sc: 0.8545 0.1602 0.1307  1 Mg 3.03, 2 Cd 3.10, 3 Sc 3.19-3.31
Sc: 0.2431 0.2362 0.7362  1 Sc 2.85, 1 Cd 2.88, 4 Mg 2.95-3.09
Sc: 0.7846 0.2362 0.7362  1 Sc 2.85, 1 Cd 2.88, 4 Mg 2.95-3.09
Sc: 0.7569 0.7638 0.2638  1 Sc 2.85, 1 Cd 2.88, 4 Mg 2.95-3.09
Sc: 0.2154 0.7638 0.2638  1 Sc 2.85, 1 Cd 2.88, 4 Mg 2.95-3.09
Sc: 0.1455 0.8398 0.8693  1 Mg 3.03, 2 Cd 3.10, 3 Sc 3.19-3.31
Sc: 0.8545 0.6307 0.6602  1 Mg 3.03, 2 Cd 3.10, 3 Sc 3.19-3.31
Sc: 0.1455 0.3693 0.3398  1 Mg 3.03, 2 Cd 3.10, 3 Sc 3.19-3.31
Cd: 0.0000 0.5000 0.0000  6 Sc 2.88-3.10, 2 Cd 3.11
Cd: 0.5000 0.5000 0.0000  6 Sc 2.88-3.10, 2 Cd 3.11



# 9
This record from Alexandria describes a relaxed Cs2AsSe3 crystal. The functional is PBE.

Output
Calculated total energy in eV/atom: -3.511
V in Å³ per atom: 37.35
SG: Cmcm (63)
E_form (uncorrected) in meV per atom: -709.4

Cell lengths 6.7982, 8.3903, 8.3903 Å; angles 69.49, 89.99, 89.99 degrees
Last column: nearest neighbours and their distance in Å.
Positions (direct):
Cs: 0.2502 0.8117 0.4880  7 Se 3.66-3.98
Cs: 0.2498 0.5120 0.1883  7 Se 3.66-3.98
Cs: 0.7498 0.1883 0.5120  7 Se 3.66-3.98
Cs: 0.7502 0.4880 0.8117  7 Se 3.66-3.98
Se: 0.2500 0.3261 0.6739  1 As 2.41
Se: 0.7500 0.6739 0.3261  1 As 2.41
Se: 0.5000 0.8635 0.8636  2 As 2.63
Se: 0.0000 0.1364 0.1365  2 As 2.63
Se: 0.5000 0.1365 0.1364  2 As 2.63
Se: 0.0000 0.8636 0.8635  2 As 2.63
As: 0.2500 0.0741 0.9259  5 Se 2.41-2.63
As: 0.7500 0.9259 0.0741  5 Se 2.41-2.63



# 10
This record from Alexandria describes a relaxed AcNdEu2 crystal. The functional is PBE.

Output
Calculated total energy in eV/atom: -7.300
V in Å³ per atom: 40.47
Relative energy among the computed polymorphs in meV per atom: 0
SG: R-3m (166)

Cell lengths 3.8466, 3.8466, 12.8274 Å; angles 81.38, 81.38, 60.00 degrees
Last column: nearest neighbours and their distance in Å.
Positions (direct):
Eu: 0.2523 0.2523 0.2430  3 Nd 3.79, 6 Eu 3.85, 3 Ac 3.93
Eu: 0.7477 0.7477 0.7570  3 Nd 3.79, 6 Eu 3.85, 3 Ac 3.93
Nd: 0.0000 0.0000 0.0000  6 Eu 3.79, 6 Nd 3.85
Ac: 0.5000 0.5000 0.5000  6 Ac 3.85, 6 Eu 3.93